[1]
The following is a DFT calculation (PBE) of Ca3Si8Pd3 after structural relaxation.

POSCAR file:
```
Ca3Si8Pd3
1.0
7.382 -2.127 0.000
7.382 2.127 0.000
-4.596 0.000 7.891
Ca Si Pd
3 8 3
Cartesian
0.000 0.000 0.000
2.887 0.000 2.782
7.281 0.000 5.108
-0.103 0.000 2.899
-1.969 0.000 6.529
1.908 0.000 5.816
5.872 0.000 2.071
4.296 0.000 5.819
8.260 0.000 2.074
12.137 0.000 1.361
10.270 0.000 4.992
-2.298 0.000 3.945
0.210 0.000 7.653
9.957 0.000 0.238
```

Properties
E_tot in eV per atom: -5.0664
Symmetry: No. 12
Formation energy without anion corrections in kcal/mol of atoms: -9.8
Total magnetic moment in μB/cell: 0.000

=====

[2]
The following is a DFT calculation (PBE) of CaSi2Pd2 after structural relaxation.

POSCAR file:
```
CaSi2Pd2
1.0
0.000 2.992 4.953
2.985 0.000 4.953
2.985 2.992 0.000
Ca Si Pd
1 2 2
Cartesian
0.000 0.000 0.000
2.985 2.992 3.754
2.985 2.992 6.153
1.493 1.496 2.477
4.478 4.488 7.430
```

Properties
E_tot in eV per atom: -5.4382
Symmetry: No. 69
Formation energy without anion corrections in kcal/mol of atoms: -18.3
Total magnetic moment in μB/cell: 0.000

=====

[3]
The following is a DFT calculation (PBE) of CaSi2Pd6 after structural relaxation.

POSCAR file:
```
CaSi2Pd6
1.0
0.000 5.618 5.618
5.618 0.000 5.618
5.618 5.618 0.000
Ca Si Pd
2 4 12
Cartesian
1.405 1.405 1.405
9.832 9.832 9.832
5.618 2.809 2.809
2.809 5.618 2.809
2.809 2.809 5.618
5.618 5.618 5.618
4.214 4.214 1.575
4.214 1.575 4.214
6.853 4.214 4.214
7.023 7.023 4.384
7.023 4.384 7.023
9.662 7.023 7.023
1.575 4.214 4.214
4.214 6.853 4.214
4.214 4.214 6.853
4.384 7.023 7.023
7.023 9.662 7.023
7.023 7.023 9.662
```

Properties
E_tot in eV per atom: -5.2712
Symmetry: No. 227
Formation energy without anion corrections in kcal/mol of atoms: -8.8
Total magnetic moment in μB/cell: 0.000

=====

[4]
The following is a DFT calculation (PBE) of Ca2Si7Pd12 after structural relaxation.

POSCAR file:
```
Ca2Si7Pd12
1.0
10.075 0.000 0.000
-5.038 8.725 0.000
0.000 0.000 3.811
Ca Si Pd
2 7 12
Cartesian
0.000 5.817 0.956
5.038 2.908 2.854
0.000 0.000 0.000
-2.412 6.188 2.858
0.884 3.542 2.858
3.510 1.005 0.953
1.527 7.720 2.858
4.153 5.183 0.953
7.449 2.537 0.953
-1.595 3.852 2.856
-0.163 2.243 0.952
-3.013 7.745 0.952
1.861 1.263 2.859
-0.904 8.181 2.856
2.538 3.308 0.954
2.499 5.418 2.856
5.941 0.545 0.954
3.177 7.462 0.952
8.051 0.980 2.859
5.201 6.482 2.859
6.633 4.873 0.954
```

Properties
E_tot in eV per atom: -5.7196
Symmetry: No. 147
Formation energy without anion corrections in kcal/mol of atoms: -17.4
Total magnetic moment in μB/cell: 0.000

=====

[5]
The following is a DFT calculation (PBE) of Ca2Si2Pd after structural relaxation.

POSCAR file:
```
Ca2Si2Pd
1.0
4.730 -2.887 0.000
4.730 2.887 0.000
-1.480 0.000 7.695
Ca Si Pd
4 4 2
Cartesian
1.196 0.749 1.158
0.456 -0.749 5.005
7.524 0.749 2.689
6.784 -0.749 6.537
2.730 0.811 3.816
5.990 0.811 0.032
1.990 -0.811 7.663
5.250 -0.811 3.879
4.360 0.547 1.924
3.620 -0.547 5.771
```

Properties
E_tot in eV per atom: -4.6188
Symmetry: No. 15
Formation energy without anion corrections in kcal/mol of atoms: -14.1
Total magnetic moment in μB/cell: 0.000

=====

[6]
The following is a DFT calculation (PBE) of Ca2Si2Pd after structural relaxation.

POSCAR file:
```
Ca2Si2Pd
1.0
6.637 0.000 0.000
0.000 6.637 0.000
0.000 0.000 4.648
Ca Si Pd
4 4 2
Cartesian
1.134 2.184 0.000
2.184 5.503 0.000
4.452 1.134 0.000
5.503 4.452 0.000
0.885 4.203 2.324
2.433 0.885 2.324
4.203 5.751 2.324
5.751 2.433 2.324
0.000 0.000 2.324
3.318 3.318 2.324
```

Properties
E_tot in eV per atom: -4.6229
Symmetry: No. 127
Formation energy without anion corrections in kcal/mol of atoms: -14.2
Total magnetic moment in μB/cell: 0.000